1.
The following is a DFT calculation (GGA-PBE) of a relaxed TbPm5Sm2 crystal.

Cell: 9.729 9.729 6.629 Å, 98.78 98.78 62.63°
Positions (direct):
1 Tb 0.000 0.500 0.000
2 Tb 0.500 0.000 0.500
3 Pm 0.060 0.940 0.250
4 Pm 0.117 0.289 0.525
5 Pm 0.289 0.117 0.025
6 Pm 0.311 0.495 0.349
7 Pm 0.495 0.311 0.849
8 Pm 0.505 0.689 0.151
9 Pm 0.689 0.505 0.651
10 Pm 0.711 0.883 0.975
11 Pm 0.883 0.711 0.475
12 Pm 0.940 0.060 0.750
13 Sm 0.175 0.662 0.867
14 Sm 0.338 0.825 0.633
15 Sm 0.662 0.175 0.367
16 Sm 0.825 0.338 0.133

Values from the calculation:
For the energy of formation from the pure elements, the calculation gives 1.2 eV per formula unit. The density comes out at 7176 kg/m³. Its energy above the most stable polymorph in this dataset is 0.136 eV per atom. As for the total magnetization: 0.000 μB per atom. The density of states at the Fermi level comes out at 26.116 states/eV/cell. As for the crystal system: monoclinic.

2.
The following is a DFT calculation (GGA-PBE) of a relaxed Tb3Mg5In12 crystal.

Cell: 15.108 15.108 15.108 Å, 109.47 109.47 109.47°
Positions (direct):
1 Tb 0.125 0.250 0.375
2 Tb 0.125 0.375 0.750
3 Tb 0.250 0.375 0.125
4 Tb 0.250 0.875 0.625
5 Tb 0.375 0.125 0.250
6 Tb 0.375 0.750 0.125
7 Tb 0.625 0.250 0.875
8 Tb 0.625 0.875 0.750
9 Tb 0.750 0.125 0.375
10 Tb 0.750 0.625 0.875
11 Tb 0.875 0.625 0.250
12 Tb 0.875 0.750 0.625
13 Mg 0.000 0.000 0.000
14 Mg 0.000 0.000 0.500
15 Mg 0.000 0.500 0.000
16 Mg 0.000 0.500 0.500
17 Mg 0.125 0.750 0.875
18 Mg 0.125 0.875 0.250
19 Mg 0.250 0.125 0.875
20 Mg 0.250 0.625 0.375
21 Mg 0.375 0.250 0.625
22 Mg 0.375 0.625 0.750
23 Mg 0.500 0.000 0.000
24 Mg 0.500 0.000 0.500
25 Mg 0.500 0.500 0.000
26 Mg 0.500 0.500 0.500
27 Mg 0.625 0.375 0.250
28 Mg 0.625 0.750 0.375
29 Mg 0.750 0.375 0.625
30 Mg 0.750 0.875 0.125
31 Mg 0.875 0.125 0.750
32 Mg 0.875 0.250 0.125
33 In 0.063 0.221 0.137
34 In 0.063 0.342 0.926
35 In 0.074 0.637 0.416
36 In 0.074 0.937 0.658
37 In 0.084 0.721 0.658
38 In 0.084 0.863 0.426
39 In 0.137 0.063 0.221
40 In 0.137 0.574 0.916
41 In 0.158 0.221 0.584
42 In 0.158 0.437 0.574
43 In 0.221 0.137 0.063
44 In 0.221 0.584 0.158
45 In 0.279 0.342 0.916
46 In 0.279 0.437 0.363
47 In 0.342 0.916 0.279
48 In 0.342 0.926 0.063
49 In 0.363 0.279 0.437
50 In 0.363 0.584 0.926
51 In 0.416 0.074 0.637
52 In 0.416 0.842 0.779
53 In 0.426 0.084 0.863
54 In 0.426 0.842 0.563
55 In 0.437 0.363 0.279
56 In 0.437 0.574 0.158
57 In 0.563 0.426 0.842
58 In 0.563 0.637 0.721
59 In 0.574 0.158 0.437
60 In 0.574 0.916 0.137
61 In 0.584 0.158 0.221
62 In 0.584 0.926 0.363
63 In 0.637 0.416 0.074
64 In 0.637 0.721 0.563
65 In 0.658 0.074 0.937
66 In 0.658 0.084 0.721
67 In 0.721 0.563 0.637
68 In 0.721 0.658 0.084
69 In 0.779 0.416 0.842
70 In 0.779 0.863 0.937
71 In 0.842 0.563 0.426
72 In 0.842 0.779 0.416
73 In 0.863 0.426 0.084
74 In 0.863 0.937 0.779
75 In 0.916 0.137 0.574
76 In 0.916 0.279 0.342
77 In 0.926 0.063 0.342
78 In 0.926 0.363 0.584
79 In 0.937 0.658 0.074
80 In 0.937 0.779 0.863

Values from the calculation:
For the energy of formation from the pure elements, the calculation gives 4.3 eV per formula unit. The density comes out at 4944 kg/m³. As for the total magnetization: 0.000 μB per atom. The density of states at the Fermi level comes out at 49.447 states/eV/cell. As for the crystal system: cubic.

3.
The following is a DFT calculation (GGA-PBE) of a relaxed CsSrReS2 crystal.

Cell: 5.622 5.622 6.971 Å, 90.00 90.00 90.00°
Positions (direct):
1 Cs 0.000 0.000 0.000
2 Sr 0.000 0.000 0.500
3 Re 0.500 0.500 0.000
4 S 0.000 0.500 0.500
5 S 0.500 0.000 0.500

Values from the calculation:
The final energy comes out at -3.670 eV per atom. The density comes out at 3548 kg/m³. As for the total magnetization: 1.200 μB per atom. The density of states at the Fermi level comes out at 1.668 states/eV/cell. As for the crystal system: tetragonal.

4.
The following is a DFT calculation (GGA-PBE) of a relaxed KNbP2Cl crystal.

Cell: 5.072 5.072 5.016 Å, 90.00 90.00 90.00°
Positions (direct):
1 K 0.000 0.000 0.000
2 Nb 0.500 0.500 0.500
3 P 0.000 0.500 0.000
4 P 0.500 0.000 0.000
5 Cl 0.000 0.000 0.500

Values from the calculation:
The density comes out at 2952 kg/m³. Its energy above the most stable polymorph in this dataset is 2.254 eV per atom. As for the total magnetization: 0.014 μB per atom. The density of states at the Fermi level comes out at 7.038 states/eV/cell. As for the crystal system: tetragonal.

5.
The following is a DFT calculation (GGA-PBE) of a relaxed Pb2SeCl crystal.

Cell: 3.890 3.890 30.386 Å, 90.00 90.00 120.00°
Positions (direct):
1 Pb 0.000 0.000 0.000
2 Pb 0.000 0.000 0.225
3 Pb 0.333 0.667 0.667
4 Pb 0.333 0.667 0.891
5 Pb 0.667 0.333 0.333
6 Pb 0.667 0.333 0.558
7 Se 0.000 0.000 0.504
8 Se 0.333 0.667 0.170
9 Se 0.667 0.333 0.837
10 Cl 0.000 0.000 0.729
11 Cl 0.333 0.667 0.396
12 Cl 0.667 0.333 0.063

Values from the calculation:
The density comes out at 6616 kg/m³. Its energy above the most stable polymorph in this dataset is 0.213 eV per atom. As for the total magnetization: 0.000 μB per atom. The density of states at the Fermi level comes out at 7.614 states/eV/cell. As for the crystal system: trigonal.

6.
The following is a DFT calculation (GGA-PBE) of a relaxed Sr2BRhSe crystal.

Cell: 5.593 5.593 3.926 Å, 90.00 90.00 90.00°
Positions (direct):
1 Sr 0.000 0.500 0.000
2 Sr 0.500 0.000 0.000
3 B 0.000 0.000 0.000
4 Rh 0.000 0.000 0.500
5 Se 0.500 0.500 0.500

Values from the calculation:
The final energy comes out at -4.790 eV per atom. The density comes out at 4975 kg/m³. As for the total magnetization: 0.000 μB per atom. The density of states at the Fermi level comes out at 2.286 states/eV/cell. As for the crystal system: tetragonal.